*i*
A relaxed TiAg3As crystal. Source: the Alexandria database, functional PBE.

Cell lengths 4.8826, 4.8826, 4.8826 Å; angles 90.00, 90.00, 90.00 degrees
Last column: nearest neighbours and their distance in Å.
Space group Pm-3m (No. 221)
Inequivalent atoms, fractional coordinates:
Ti  0.0000  0.0000  0.0000 [1 per cell]  12 Ag 3.45
Ag  0.0000  0.5000  0.5000 [3 per cell]  2 As 2.44
As  0.5000  0.5000  0.5000 [1 per cell]  6 Ag 2.44

Values from the calculation:
Spin magnetization (μB per cell): 2.9

*ii*
A relaxed TiAg3As crystal. Source: the Alexandria database, functional PBE.

Cell lengths 4.9994, 4.9994, 4.9994 Å; angles 90.00, 90.00, 90.00 degrees
Last column: nearest neighbours and their distance in Å.
Space group Pm-3m (No. 221)
Inequivalent atoms, fractional coordinates:
Ti  0.0000  0.0000  0.0000 [1 per cell]  6 Ag 2.50
Ag  0.0000  0.0000  0.5000 [3 per cell]  2 Ti 2.50
As  0.5000  0.5000  0.5000 [1 per cell]  12 Ag 3.54

Values from the calculation:
Spin magnetization (μB per cell): 2.1

*i* ends up most stable, edging out the next structure by 531 meV/atom.